1.
# CaIn8Ni4 | Alexandria via LeMat-Bulk | PBE-GGA | optimized geometry
data_CaIn8Ni4
_cell_length_a 9.429
_cell_length_b 9.429
_cell_length_c 5.660
_cell_angle_alpha 90.00
_cell_angle_beta 90.00
_cell_angle_gamma 90.00
_space_group_name_H-M_alt 'I 4/m m m'
_space_group_IT_number 139
_space_group_name_Hall '-I 4 2'
loop_
_atom_site_label
_atom_site_fract_x
_atom_site_fract_y
_atom_site_fract_z
Ca1 0.000 0.000 0.000
In1 0.000 0.223 0.500
In2 0.000 0.333 0.000
Ni1 0.250 0.250 0.250
# N(E_F), states/eV/cell: 13.0
# Energy of formation, meV/atom: -138.2


2.
# CaIn3Ni | Alexandria via LeMat-Bulk | PBE-GGA | optimized geometry
data_CaIn3Ni
_cell_length_a 8.935
_cell_length_b 4.390
_cell_length_c 11.698
_cell_angle_alpha 90.00
_cell_angle_beta 90.00
_cell_angle_gamma 90.00
_space_group_name_H-M_alt 'P n m a'
_space_group_IT_number 62
_space_group_name_Hall '-P 2ac 2n'
loop_
_atom_site_label
_atom_site_fract_x
_atom_site_fract_y
_atom_site_fract_z
Ca1 0.193 0.250 0.000
In1 0.057 0.250 0.418
In2 0.110 0.750 0.207
In3 0.141 0.750 0.789
Ni1 0.111 0.250 0.644
# N(E_F), states/eV/cell: 8.5
# Energy of formation, meV/atom: -305.3